1.
First-principles (SCAN) data for a crystal of Mn2Zn2Pd relaxed with PBEsol, as listed in the Alexandria database.

Values from the calculation:
Its energy of formation is -0.01 eV per atom. Its crystal system is tetragonal. The value obtained for the total moment is 8.87 μB per formula unit. As for the density of states at the Fermi level: 2.16 states/eV per cell.

abc: 3.3570 3.3570 7.2582
angles: 103.37 103.37 90.00
Sites, in units of the cell vectors:
Zn: 0.2500 0.7500 0.5000
Mn: 0.4032 0.4032 0.8063
Zn: 0.7500 0.2500 0.5000
Pd: 0.0000 0.0000 0.0000
Mn: 0.5968 0.5968 0.1937


2.
First-principles (SCAN) data for a crystal of NiAs2Pb relaxed with PBEsol, as listed in the Alexandria database.

Values from the calculation:
Its energy of formation is 0.08 eV per atom. Its crystal system is tetragonal. The value obtained for the total moment is 0.00 μB per formula unit. As for the density of states at the Fermi level: 1.85 states/eV per cell.

abc: 3.0741 3.0741 8.0275
angles: 90.00 90.00 90.00
Sites, in units of the cell vectors:
As: 0.0000 0.0000 0.8291
As: 0.0000 0.0000 0.1709
Ni: 0.5000 0.5000 0.0000
Pb: 0.5000 0.5000 0.5000